No. 1
The following is a PBE calculation of crystalline Cd2NiTe at its relaxed geometry, from the Alexandria database.

Properties
E_form (uncorrected): -0.1 eV/f.u.

```
data_Cd2NiTe
_chemical_formula_sum 'Cd4 Ni2 Te2'
_cell_length_a 3.113
_cell_length_b 4.511
_cell_length_c 12.664
_cell_angle_alpha 90.00
_cell_angle_beta 90.00
_cell_angle_gamma 90.00
_symmetry_space_group_name_H-M 'P 1'
_symmetry_Int_Tables_number 1
loop_
_symmetry_equiv_pos_as_xyz
'x,y,z'
loop_
_atom_site_label
_atom_site_type_symbol
_atom_site_fract_x
_atom_site_fract_y
_atom_site_fract_z
_atom_site_occupancy
Cd1 Cd 0.000 0.000 0.000 1
Cd2 Cd 0.000 0.500 0.160 1
Cd3 Cd 0.500 0.000 0.660 1
Cd4 Cd 0.500 0.500 0.500 1
Ni1 Ni 0.000 0.500 0.679 1
Ni2 Ni 0.500 0.000 0.179 1
Te1 Te 0.000 0.000 0.343 1
Te2 Te 0.500 0.500 0.843 1
```

No. 2
The following is a PBE calculation of crystalline Tc2OsRu at its relaxed geometry, from the Alexandria database.

Properties
energy relative to the elements: 0.044 eV/atom

```
data_Tc2OsRu
_chemical_formula_sum 'Tc4 Os2 Ru2'
_cell_length_a 3.855
_cell_length_b 3.855
_cell_length_c 7.726
_cell_angle_alpha 90.00
_cell_angle_beta 90.00
_cell_angle_gamma 90.00
_symmetry_space_group_name_H-M 'P 1'
_symmetry_Int_Tables_number 1
loop_
_symmetry_equiv_pos_as_xyz
'x,y,z'
loop_
_atom_site_label
_atom_site_type_symbol
_atom_site_fract_x
_atom_site_fract_y
_atom_site_fract_z
_atom_site_occupancy
Tc1 Tc 0.000 0.500 0.250 1
Tc2 Tc 0.000 0.500 0.750 1
Tc3 Tc 0.500 0.000 0.250 1
Tc4 Tc 0.500 0.000 0.750 1
Os1 Os 0.000 0.000 0.000 1
Os2 Os 0.500 0.500 0.500 1
Ru1 Ru 0.000 0.000 0.500 1
Ru2 Ru 0.500 0.500 0.000 1
```

No. 3
The following is a PBE calculation of crystalline ReSi2Pb at its relaxed geometry, from the Alexandria database.

Properties
E_form (uncorrected): 2.8 eV/f.u.

```
data_ReSi2Pb
_chemical_formula_sum 'Re2 Si4 Pb2'
_cell_length_a 2.987
_cell_length_b 6.005
_cell_length_c 9.167
_cell_angle_alpha 90.00
_cell_angle_beta 90.00
_cell_angle_gamma 90.00
_symmetry_space_group_name_H-M 'P 1'
_symmetry_Int_Tables_number 1
loop_
_symmetry_equiv_pos_as_xyz
'x,y,z'
loop_
_atom_site_label
_atom_site_type_symbol
_atom_site_fract_x
_atom_site_fract_y
_atom_site_fract_z
_atom_site_occupancy
Re1 Re 0.000 0.000 0.000 1
Re2 Re 0.500 0.500 0.500 1
Si1 Si 0.000 0.500 0.292 1
Si2 Si 0.000 0.500 0.708 1
Si3 Si 0.500 0.000 0.208 1
Si4 Si 0.500 0.000 0.792 1
Pb1 Pb 0.000 0.000 0.500 1
Pb2 Pb 0.500 0.500 0.000 1
```

No. 4
The following is a PBE calculation of crystalline SnH7C2SeClO3 at its relaxed geometry, from the Alexandria database.

Properties
raw total energy: -4.922 eV per atom

```
data_SnH7C2SeClO3
_chemical_formula_sum 'Sn2 H14 C4 Se2 Cl2 O6'
_cell_length_a 7.123
_cell_length_b 7.811
_cell_length_c 7.976
_cell_angle_alpha 69.65
_cell_angle_beta 84.59
_cell_angle_gamma 77.21
_symmetry_space_group_name_H-M 'P 1'
_symmetry_Int_Tables_number 1
loop_
_symmetry_equiv_pos_as_xyz
'x,y,z'
loop_
_atom_site_label
_atom_site_type_symbol
_atom_site_fract_x
_atom_site_fract_y
_atom_site_fract_z
_atom_site_occupancy
Sn1 Sn 0.219 0.082 0.329 1
Sn2 Sn 0.781 0.918 0.671 1
H1 H 0.032 0.393 0.389 1
H2 H 0.176 0.770 0.285 1
H3 H 0.226 0.278 0.544 1
H4 H 0.277 0.412 0.317 1
H5 H 0.283 0.500 0.875 1
H6 H 0.356 0.712 0.450 1
H7 H 0.417 0.809 0.217 1
H8 H 0.583 0.191 0.783 1
H9 H 0.644 0.288 0.550 1
H10 H 0.717 0.500 0.125 1
H11 H 0.723 0.588 0.683 1
H12 H 0.774 0.722 0.456 1
H13 H 0.824 0.230 0.715 1
H14 H 0.968 0.607 0.611 1
C1 C 0.183 0.323 0.405 1
C2 C 0.303 0.807 0.319 1
C3 C 0.697 0.193 0.681 1
C4 C 0.817 0.677 0.595 1
Se1 Se 0.271 0.820 0.817 1
Se2 Se 0.729 0.180 0.183 1
Cl1 Cl 0.167 0.246 0.996 1
Cl2 Cl 0.833 0.754 0.004 1
O1 O 0.099 0.921 0.651 1
O2 O 0.358 0.592 0.796 1
O3 O 0.451 0.921 0.705 1
O4 O 0.549 0.079 0.295 1
O5 O 0.642 0.408 0.204 1
O6 O 0.901 0.079 0.349 1
```

No. 5
The following is a PBE calculation of crystalline EuTlAu at its relaxed geometry, from the Alexandria database.

Properties
energy relative to the elements: -0.528 eV/atom

```
data_EuTlAu
_chemical_formula_sum 'Eu1 Tl1 Au1'
_cell_length_a 4.946
_cell_length_b 4.946
_cell_length_c 3.810
_cell_angle_alpha 90.00
_cell_angle_beta 90.00
_cell_angle_gamma 120.00
_symmetry_space_group_name_H-M 'P 1'
_symmetry_Int_Tables_number 1
loop_
_symmetry_equiv_pos_as_xyz
'x,y,z'
loop_
_atom_site_label
_atom_site_type_symbol
_atom_site_fract_x
_atom_site_fract_y
_atom_site_fract_z
_atom_site_occupancy
Eu1 Eu 0.000 0.000 0.000 1
Tl1 Tl 0.333 0.667 0.500 1
Au1 Au 0.667 0.333 0.500 1
```

No. 6
The following is a PBE calculation of crystalline PrTlI4 at its relaxed geometry, from the Alexandria database.

Properties
E_form (uncorrected): -6.7 eV/f.u.

```
data_PrTlI4
_chemical_formula_sum 'Pr2 Tl2 I8'
_cell_length_a 9.225
_cell_length_b 9.225
_cell_length_c 7.774
_cell_angle_alpha 108.01
_cell_angle_beta 108.01
_cell_angle_gamma 110.34
_symmetry_space_group_name_H-M 'P 1'
_symmetry_Int_Tables_number 1
loop_
_symmetry_equiv_pos_as_xyz
'x,y,z'
loop_
_atom_site_label
_atom_site_type_symbol
_atom_site_fract_x
_atom_site_fract_y
_atom_site_fract_z
_atom_site_occupancy
Pr1 Pr 0.001 0.999 0.750 1
Pr2 Pr 0.999 0.001 0.250 1
Tl1 Tl 0.370 0.630 0.250 1
Tl2 Tl 0.630 0.370 0.750 1
I1 I 0.056 0.727 0.924 1
I2 I 0.218 0.347 0.709 1
I3 I 0.273 0.944 0.576 1
I4 I 0.347 0.218 0.209 1
I5 I 0.653 0.782 0.791 1
I6 I 0.727 0.056 0.424 1
I7 I 0.782 0.653 0.291 1
I8 I 0.944 0.273 0.076 1
```

No. 7
The following is a PBE calculation of crystalline Si3Sn12Hg5 at its relaxed geometry, from the Alexandria database.

Properties
E_form (uncorrected): 5.3 eV/f.u.

```
data_Si3Sn12Hg5
_chemical_formula_sum 'Si12 Sn48 Hg20'
_cell_length_a 14.725
_cell_length_b 14.725
_cell_length_c 14.725
_cell_angle_alpha 109.47
_cell_angle_beta 109.47
_cell_angle_gamma 109.47
_symmetry_space_group_name_H-M 'P 1'
_symmetry_Int_Tables_number 1
loop_
_symmetry_equiv_pos_as_xyz
'x,y,z'
loop_
_atom_site_label
_atom_site_type_symbol
_atom_site_fract_x
_atom_site_fract_y
_atom_site_fract_z
_atom_site_occupancy
Si1 Si 0.125 0.250 0.375 1
Si2 Si 0.125 0.375 0.750 1
Si3 Si 0.250 0.375 0.125 1
Si4 Si 0.250 0.875 0.625 1
Si5 Si 0.375 0.125 0.250 1
Si6 Si 0.375 0.750 0.125 1
Si7 Si 0.625 0.250 0.875 1
Si8 Si 0.625 0.875 0.750 1
Si9 Si 0.750 0.125 0.375 1
Si10 Si 0.750 0.625 0.875 1
Si11 Si 0.875 0.625 0.250 1
Si12 Si 0.875 0.750 0.625 1
Sn1 Sn 0.063 0.636 0.399 1
Sn2 Sn 0.063 0.927 0.664 1
Sn3 Sn 0.073 0.237 0.136 1
Sn4 Sn 0.073 0.336 0.937 1
Sn5 Sn 0.101 0.737 0.664 1
Sn6 Sn 0.101 0.864 0.437 1
Sn7 Sn 0.136 0.073 0.237 1
Sn8 Sn 0.136 0.563 0.899 1
Sn9 Sn 0.164 0.237 0.601 1
Sn10 Sn 0.164 0.427 0.563 1
Sn11 Sn 0.237 0.136 0.073 1
Sn12 Sn 0.237 0.601 0.164 1
Sn13 Sn 0.263 0.336 0.899 1
Sn14 Sn 0.263 0.427 0.364 1
Sn15 Sn 0.336 0.899 0.263 1
Sn16 Sn 0.336 0.937 0.073 1
Sn17 Sn 0.364 0.263 0.427 1
Sn18 Sn 0.364 0.601 0.937 1
Sn19 Sn 0.399 0.063 0.636 1
Sn20 Sn 0.399 0.836 0.763 1
Sn21 Sn 0.427 0.364 0.263 1
Sn22 Sn 0.427 0.563 0.164 1
Sn23 Sn 0.437 0.101 0.864 1
Sn24 Sn 0.437 0.836 0.573 1
Sn25 Sn 0.563 0.164 0.427 1
Sn26 Sn 0.563 0.899 0.136 1
Sn27 Sn 0.573 0.437 0.836 1
Sn28 Sn 0.573 0.636 0.737 1
Sn29 Sn 0.601 0.164 0.237 1
Sn30 Sn 0.601 0.937 0.364 1
Sn31 Sn 0.636 0.399 0.063 1
Sn32 Sn 0.636 0.737 0.573 1
Sn33 Sn 0.664 0.063 0.927 1
Sn34 Sn 0.664 0.101 0.737 1
Sn35 Sn 0.737 0.573 0.636 1
Sn36 Sn 0.737 0.664 0.101 1
Sn37 Sn 0.763 0.399 0.836 1
Sn38 Sn 0.763 0.864 0.927 1
Sn39 Sn 0.836 0.573 0.437 1
Sn40 Sn 0.836 0.763 0.399 1
Sn41 Sn 0.864 0.437 0.101 1
Sn42 Sn 0.864 0.927 0.763 1
Sn43 Sn 0.899 0.136 0.563 1
Sn44 Sn 0.899 0.263 0.336 1
Sn45 Sn 0.927 0.664 0.063 1
Sn46 Sn 0.927 0.763 0.864 1
Sn47 Sn 0.937 0.073 0.336 1
Sn48 Sn 0.937 0.364 0.601 1
Hg1 Hg 0.000 0.000 0.000 1
Hg2 Hg 0.000 0.000 0.500 1
Hg3 Hg 0.000 0.500 0.000 1
Hg4 Hg 0.000 0.500 0.500 1
Hg5 Hg 0.125 0.750 0.875 1
Hg6 Hg 0.125 0.875 0.250 1
Hg7 Hg 0.250 0.125 0.875 1
Hg8 Hg 0.250 0.625 0.375 1
Hg9 Hg 0.375 0.250 0.625 1
Hg10 Hg 0.375 0.625 0.750 1
Hg11 Hg 0.500 0.000 0.000 1
Hg12 Hg 0.500 0.000 0.500 1
Hg13 Hg 0.500 0.500 0.000 1
Hg14 Hg 0.500 0.500 0.500 1
Hg15 Hg 0.625 0.375 0.250 1
Hg16 Hg 0.625 0.750 0.375 1
Hg17 Hg 0.750 0.375 0.625 1
Hg18 Hg 0.750 0.875 0.125 1
Hg19 Hg 0.875 0.125 0.750 1
Hg20 Hg 0.875 0.250 0.125 1
```

No. 8
The following is a PBE calculation of crystalline La4Ag5Pd2 at its relaxed geometry, from the Alexandria database.

Properties
energy relative to the elements: -0.426 eV/atom

```
data_La4Ag5Pd2
_chemical_formula_sum 'La4 Ag5 Pd2'
_cell_length_a 7.621
_cell_length_b 4.080
_cell_length_c 9.003
_cell_angle_alpha 90.00
_cell_angle_beta 93.65
_cell_angle_gamma 90.00
_symmetry_space_group_name_H-M 'P 1'
_symmetry_Int_Tables_number 1
loop_
_symmetry_equiv_pos_as_xyz
'x,y,z'
loop_
_atom_site_label
_atom_site_type_symbol
_atom_site_fract_x
_atom_site_fract_y
_atom_site_fract_z
_atom_site_occupancy
La1 La 0.204 0.000 0.359 1
La2 La 0.238 0.000 0.915 1
La3 La 0.762 0.000 0.085 1
La4 La 0.796 0.000 0.641 1
Ag1 Ag 0.160 0.500 0.630 1
Ag2 Ag 0.453 0.500 0.166 1
Ag3 Ag 0.500 0.500 0.500 1
Ag4 Ag 0.547 0.500 0.834 1
Ag5 Ag 0.840 0.500 0.370 1
Pd1 Pd 0.078 0.500 0.142 1
Pd2 Pd 0.922 0.500 0.858 1
```

No. 9
The following is a PBE calculation of crystalline Ac2GeSe at its relaxed geometry, from the Alexandria database.

Properties
E_form (uncorrected): -5.5 eV/f.u.

```
data_Ac2GeSe
_chemical_formula_sum 'Ac8 Ge4 Se4'
_cell_length_a 6.412
_cell_length_b 6.412
_cell_length_c 12.987
_cell_angle_alpha 90.00
_cell_angle_beta 90.00
_cell_angle_gamma 90.00
_symmetry_space_group_name_H-M 'P 1'
_symmetry_Int_Tables_number 1
loop_
_symmetry_equiv_pos_as_xyz
'x,y,z'
loop_
_atom_site_label
_atom_site_type_symbol
_atom_site_fract_x
_atom_site_fract_y
_atom_site_fract_z
_atom_site_occupancy
Ac1 Ac 0.000 0.250 0.121 1
Ac2 Ac 0.000 0.250 0.629 1
Ac3 Ac 0.000 0.750 0.371 1
Ac4 Ac 0.000 0.750 0.879 1
Ac5 Ac 0.500 0.250 0.379 1
Ac6 Ac 0.500 0.250 0.871 1
Ac7 Ac 0.500 0.750 0.129 1
Ac8 Ac 0.500 0.750 0.621 1
Ge1 Ge 0.000 0.250 0.875 1
Ge2 Ge 0.000 0.750 0.125 1
Ge3 Ge 0.500 0.250 0.625 1
Ge4 Ge 0.500 0.750 0.375 1
Se1 Se 0.000 0.250 0.375 1
Se2 Se 0.000 0.750 0.625 1
Se3 Se 0.500 0.250 0.125 1
Se4 Se 0.500 0.750 0.875 1
```